Entry 1:
## CaNd2Dy (GGA-PBE)

Data for a geometry-optimized CaNd2Dy structure.

Cell: 3.6638 3.6638 12.3843 Å, 81.49 81.49 60.00°
Closest atoms and distances in Å follow each position.
Fractional positions:
Nd (0.7453, 0.7453, 0.7642)  3 Dy 3.57, 6 Nd 3.66, 3 Ca 3.86
Nd (0.2547, 0.2547, 0.2358)  3 Dy 3.57, 6 Nd 3.66, 3 Ca 3.86
Dy (0.0000, 0.0000, 0.0000)  6 Nd 3.57, 6 Dy 3.66
Ca (0.5000, 0.5000, 0.5000)  6 Ca 3.66, 6 Nd 3.86

Formation enthalpy at 0 K, eV/atom: 0.034
Uncorrected energy, eV/atom: -4.00
Calculated volume, Å³/cell: 142
M_tot, μB per cell: 0.000


Entry 2:
## CaNd3Dy (GGA-PBE)

Data for a geometry-optimized CaNd3Dy structure.

Cell: 5.6386 7.2768 14.1895 Å, 140.37 101.46 90.00°
Closest atoms and distances in Å follow each position.
Fractional positions:
Nd (0.9980, 0.7537, 0.9960)  7 Nd 3.43-3.81, 1 Dy 3.47
Dy (0.1996, 0.3516, 0.3993)  2 Dy 3.31, 5 Nd 3.47-3.69
Ca (0.3912, 0.1730, 0.7825)  9 Nd 3.61-3.89, 3 Dy 3.71-3.75, 1 Ca 3.74
Nd (0.0020, 0.2463, 0.0040)  7 Nd 3.43-3.81, 1 Dy 3.47
Nd (0.2015, 0.8559, 0.4031)  3 Nd 3.28-3.43, 2 Dy 3.63-3.65
Nd (0.7985, 0.1441, 0.5969)  3 Nd 3.28-3.43, 2 Dy 3.63-3.65
Dy (0.8004, 0.6484, 0.6007)  2 Dy 3.31, 5 Nd 3.47-3.69
Nd (0.3922, 0.6795, 0.7845)  2 Ca 3.61-3.66, 3 Dy 3.69-3.78, 8 Nd 3.71-3.81
Ca (0.6088, 0.8270, 0.2175)  9 Nd 3.61-3.89, 3 Dy 3.71-3.75, 1 Ca 3.74
Nd (0.6078, 0.3205, 0.2155)  2 Ca 3.61-3.66, 3 Dy 3.69-3.78, 8 Nd 3.71-3.81

Formation enthalpy at 0 K, eV/atom: 0.094
Uncorrected energy, eV/atom: -4.09
Calculated volume, Å³/cell: 353
M_tot, μB per cell: 0.000


Entry 3:
## Ca2Nd4Dy (GGA-PBE)

Data for a geometry-optimized Ca2Nd4Dy structure.

Cell: 5.7749 5.7749 9.8870 Å, 106.98 106.98 90.00°
Closest atoms and distances in Å follow each position.
Fractional positions:
Dy (0.0000, 0.0000, 0.0000)  6 Nd 2.89-3.10
Ca (0.3733, 0.3733, 0.7466)  5 Nd 3.62-3.68
Ca (0.6267, 0.6267, 0.2534)  5 Nd 3.62-3.68
Nd (0.5000, 0.0000, 0.0000)  2 Dy 2.89
Nd (0.1724, 0.1724, 0.3447)  1 Dy 3.10
Nd (0.8276, 0.8276, 0.6553)  1 Dy 3.10
Nd (0.0000, 0.5000, 0.0000)  2 Dy 2.89

Formation enthalpy at 0 K, eV/atom: 0.582
Uncorrected energy, eV/atom: -3.37
Calculated volume, Å³/cell: 300
M_tot, μB per cell: 0.625


Entry 4:
## CaNd4Dy4 (GGA-PBE)

Data for a geometry-optimized CaNd4Dy4 structure.

Cell: 10.7074 9.1447 12.0385 Å, 58.58 106.93 141.35°
Closest atoms and distances in Å follow each position.
Fractional positions:
Nd (0.9042, 0.2007, 0.5513)  7 Dy 3.43-3.60, 1 Ca 3.51, 2 Nd 3.55-3.56
Ca (0.5029, 0.5005, 0.2430)  6 Dy 3.45-3.74, 5 Nd 3.51-3.80
Dy (0.4394, 0.8209, 0.4315)  5 Dy 3.41-3.64, 6 Nd 3.47-3.74, 1 Ca 3.71
Ca (0.4971, 0.4995, 0.7570)  6 Dy 3.45-3.74, 5 Nd 3.51-3.80
Dy (0.0507, 0.1506, 0.0902)  3 Dy 3.42-3.70, 3 Nd 3.58-3.67, 2 Ca 3.68-3.72
Dy (0.8357, 0.5059, 0.2509)  4 Dy 3.41-3.65, 6 Nd 3.43-3.75, 1 Ca 3.50
Nd (0.7220, 0.1625, 0.1015)  5 Nd 3.48-3.85, 5 Dy 3.64-3.87, 1 Ca 3.80
Dy (0.5606, 0.1791, 0.5685)  5 Dy 3.41-3.64, 6 Nd 3.47-3.74, 1 Ca 3.71
Nd (0.8315, 0.5065, 0.7548)  5 Dy 3.40-3.67, 5 Nd 3.48-3.72, 1 Ca 3.54
Dy (0.2249, 0.1872, 0.5659)  4 Nd 3.40-3.62, 2 Ca 3.45-3.74, 4 Dy 3.59-3.65
Nd (0.1685, 0.4935, 0.2452)  5 Dy 3.40-3.67, 5 Nd 3.48-3.72, 1 Ca 3.54
Nd (0.6292, 0.8800, 0.8907)  3 Nd 3.49-3.87, 2 Ca 3.54-3.68, 5 Dy 3.57-3.83
Dy (0.7751, 0.8128, 0.4341)  4 Nd 3.40-3.62, 2 Ca 3.45-3.74, 4 Dy 3.59-3.65
Dy (0.1643, 0.4941, 0.7491)  4 Dy 3.41-3.65, 6 Nd 3.43-3.75, 1 Ca 3.50
Nd (0.2780, 0.8375, 0.8985)  5 Nd 3.48-3.85, 5 Dy 3.64-3.87, 1 Ca 3.80
Nd (0.3708, 0.1200, 0.1093)  3 Nd 3.49-3.87, 2 Ca 3.54-3.68, 5 Dy 3.57-3.83
Dy (0.9493, 0.8494, 0.9098)  3 Dy 3.42-3.70, 3 Nd 3.58-3.67, 2 Ca 3.68-3.72
Nd (0.0958, 0.7993, 0.4487)  7 Dy 3.43-3.60, 1 Ca 3.51, 2 Nd 3.55-3.56

Formation enthalpy at 0 K, eV/atom: 0.060
Uncorrected energy, eV/atom: -4.33
Calculated volume, Å³/cell: 613
M_tot, μB per cell: 0.000


Entry 5:
## CaNd3Dy2 (GGA-PBE)

Data for a geometry-optimized CaNd3Dy2 structure.

Cell: 7.9989 6.7284 7.9989 Å, 90.13 101.27 89.87°
Closest atoms and distances in Å follow each position.
Fractional positions:
Dy (0.1717, 0.5000, 0.1717)  3 Dy 3.36-3.49, 4 Nd 3.55-3.58, 2 Ca 3.74
Nd (0.4245, 0.2495, 0.9187)  4 Nd 3.36-3.73, 2 Dy 3.55, 1 Ca 3.73
Nd (0.9187, 0.7505, 0.4245)  4 Nd 3.36-3.73, 2 Dy 3.55, 1 Ca 3.73
Nd (0.5755, 0.7505, 0.0813)  4 Nd 3.36-3.73, 2 Dy 3.55, 1 Ca 3.73
Nd (0.7874, 0.2510, 0.2126)  1 Ca 3.31, 2 Nd 3.36, 4 Dy 3.57-3.58
Nd (0.0813, 0.2495, 0.5755)  4 Nd 3.36-3.73, 2 Dy 3.55, 1 Ca 3.73
Dy (0.8283, 0.5000, 0.8283)  3 Dy 3.36-3.49, 4 Nd 3.55-3.58, 2 Ca 3.74
Dy (0.8285, 0.0000, 0.8285)  3 Dy 3.36-3.48, 4 Nd 3.55-3.57, 2 Ca 3.74
Ca (0.5195, 0.2499, 0.4805)  1 Nd 3.31, 2 Ca 3.40
Nd (0.2126, 0.7490, 0.7874)  1 Ca 3.31, 2 Nd 3.36, 4 Dy 3.57-3.58
Ca (0.4805, 0.7501, 0.5195)  1 Nd 3.31, 2 Ca 3.40
Dy (0.1715, 0.0000, 0.1715)  3 Dy 3.36-3.48, 4 Nd 3.55-3.57, 2 Ca 3.74

Formation enthalpy at 0 K, eV/atom: 0.192
Uncorrected energy, eV/atom: -4.06
Calculated volume, Å³/cell: 422
M_tot, μB per cell: 0.000


Entry 6:
## CaNd2Dy (GGA-PBE)

Data for a geometry-optimized CaNd2Dy structure.

Cell: 5.0663 5.2589 5.2589 Å, 90.00 90.00 90.00°
Closest atoms and distances in Å follow each position.
Fractional positions:
Nd (0.0000, 0.5000, 0.0000)  4 Dy 3.65, 4 Ca 3.65, 4 Nd 3.72
Dy (0.5000, 0.5000, 0.5000)  8 Nd 3.65, 4 Ca 3.72
Ca (0.5000, 0.0000, 0.0000)  8 Nd 3.65, 4 Dy 3.72
Nd (0.0000, 0.0000, 0.5000)  4 Dy 3.65, 4 Ca 3.65, 4 Nd 3.72

Formation enthalpy at 0 K, eV/atom: 0.094
Uncorrected energy, eV/atom: -3.94
Calculated volume, Å³/cell: 140
M_tot, μB per cell: 0.000


Entry 7:
## CaNd15Dy4 (GGA-PBE)

Data for a geometry-optimized CaNd15Dy4 structure.

Cell: 5.1850 5.1850 25.8154 Å, 90.00 90.00 90.00°
Closest atoms and distances in Å follow each position.
Fractional positions:
Nd (0.5000, 0.0000, 0.5000)  4 Dy 3.65, 8 Nd 3.65-3.67
Nd (0.5000, 0.0000, 0.3013)  8 Nd 3.64-3.67, 4 Dy 3.65-3.66
Dy (0.0000, 0.0000, 0.7987)  12 Nd 3.61-3.67
Dy (0.0000, 0.0000, 0.2013)  12 Nd 3.61-3.67
Nd (0.0000, 0.5000, 0.5000)  4 Dy 3.65, 8 Nd 3.65-3.67
Nd (0.0000, 0.5000, 0.6987)  8 Nd 3.64-3.67, 4 Dy 3.65-3.66
Nd (0.5000, 0.0000, 0.8963)  8 Nd 3.61-3.73, 2 Dy 3.61, 2 Ca 3.73
Nd (0.5000, 0.5000, 0.7988)  8 Nd 3.61-3.66, 4 Dy 3.67
Nd (0.0000, 0.5000, 0.3013)  8 Nd 3.64-3.67, 4 Dy 3.65-3.66
Nd (0.0000, 0.5000, 0.8963)  8 Nd 3.61-3.73, 2 Dy 3.61, 2 Ca 3.73
Dy (0.0000, 0.0000, 0.4007)  12 Nd 3.65-3.67
Nd (0.5000, 0.5000, 0.5997)  8 Nd 3.64-3.65, 4 Dy 3.67
Nd (0.5000, 0.0000, 0.6987)  8 Nd 3.64-3.67, 4 Dy 3.65-3.66
Dy (0.0000, 0.0000, 0.5993)  12 Nd 3.65-3.67
Nd (0.5000, 0.5000, 0.2012)  8 Nd 3.61-3.66, 4 Dy 3.67
Nd (0.5000, 0.0000, 0.1037)  8 Nd 3.61-3.73, 2 Dy 3.61, 2 Ca 3.73
Nd (0.0000, 0.5000, 0.1037)  8 Nd 3.61-3.73, 2 Dy 3.61, 2 Ca 3.73
Ca (0.0000, 0.0000, 0.0000)  12 Nd 3.67-3.73
Nd (0.5000, 0.5000, 0.0000)  4 Ca 3.67, 8 Nd 3.73
Nd (0.5000, 0.5000, 0.4003)  8 Nd 3.64-3.65, 4 Dy 3.67

Formation enthalpy at 0 K, eV/atom: 0.022
Uncorrected energy, eV/atom: -4.57
Calculated volume, Å³/cell: 694
M_tot, μB per cell: 0.000


Entry 8:
## CaNd12Dy6 (GGA-PBE)

Data for a geometry-optimized CaNd12Dy6 structure.

Cell: 8.8919 8.8919 8.8919 Å, 98.33 98.33 98.33°
Closest atoms and distances in Å follow each position.
Fractional positions:
Nd (0.0855, 0.3577, 0.3577)  6 Nd 3.41-3.66, 2 Dy 3.77
Nd (0.3577, 0.3577, 0.0855)  6 Nd 3.41-3.66, 2 Dy 3.77
Nd (0.2388, 0.7612, 0.5000)  6 Nd 3.41-3.62, 4 Dy 3.55-3.59
Nd (0.3577, 0.0855, 0.3577)  6 Nd 3.41-3.66, 2 Dy 3.77
Ca (0.0000, 0.0000, 0.0000)  6 Dy 3.49
Dy (0.0977, 0.0977, 0.6566)  1 Dy 3.18, 1 Ca 3.49, 2 Nd 3.55
Nd (0.5000, 0.2388, 0.7612)  6 Nd 3.41-3.62, 4 Dy 3.55-3.59
Nd (0.7612, 0.2388, 0.5000)  6 Nd 3.41-3.62, 4 Dy 3.55-3.59
Nd (0.9145, 0.6423, 0.6423)  6 Nd 3.41-3.66, 2 Dy 3.77
Nd (0.6423, 0.9145, 0.6423)  6 Nd 3.41-3.66, 2 Dy 3.77
Nd (0.5000, 0.7612, 0.2388)  6 Nd 3.41-3.62, 4 Dy 3.55-3.59
Dy (0.9023, 0.9023, 0.3434)  1 Dy 3.18, 1 Ca 3.49, 2 Nd 3.55
Nd (0.7612, 0.5000, 0.2388)  6 Nd 3.41-3.62, 4 Dy 3.55-3.59
Dy (0.0977, 0.6566, 0.0977)  1 Dy 3.18, 1 Ca 3.49, 2 Nd 3.55
Dy (0.3434, 0.9023, 0.9023)  1 Dy 3.18, 1 Ca 3.49, 2 Nd 3.55
Nd (0.2388, 0.5000, 0.7612)  6 Nd 3.41-3.62, 4 Dy 3.55-3.59
Nd (0.6423, 0.6423, 0.9145)  6 Nd 3.41-3.66, 2 Dy 3.77
Dy (0.6566, 0.0977, 0.0977)  1 Dy 3.18, 1 Ca 3.49, 2 Nd 3.55
Dy (0.9023, 0.3434, 0.9023)  1 Dy 3.18, 1 Ca 3.49, 2 Nd 3.55

Formation enthalpy at 0 K, eV/atom: 0.183
Uncorrected energy, eV/atom: -4.39
Calculated volume, Å³/cell: 678
M_tot, μB per cell: 0.000


Entry 9:
## Ca2Nd6Dy5 (GGA-PBE)

Data for a geometry-optimized Ca2Nd6Dy5 structure.

Cell: 3.5967 12.1352 20.7376 Å, 90.00 90.00 90.00°
Closest atoms and distances in Å follow each position.
Fractional positions:
Dy (0.5000, 0.0966, 0.2195)  5 Nd 3.35-3.50, 2 Dy 3.60, 4 Ca 3.63-3.68
Nd (0.0000, 0.5481, 0.4225)  5 Nd 3.42-3.79, 6 Dy 3.50-3.76
Nd (0.5000, 0.3131, 0.1194)  3 Dy 3.35-3.73, 4 Nd 3.60-3.64
Nd (0.0000, 0.5715, 0.1383)  6 Dy 3.47-3.69, 1 Ca 3.59, 4 Nd 3.60-3.64
Ca (0.0000, 0.6633, 0.7148)  4 Nd 3.59-3.89, 2 Ca 3.60, 6 Dy 3.63-3.90
Dy (0.5000, 0.7901, 0.0502)  3 Dy 3.60-3.67, 7 Nd 3.65-3.76, 2 Ca 3.90
Nd (0.5000, 0.6869, 0.8806)  3 Dy 3.35-3.73, 4 Nd 3.60-3.64
Nd (0.0000, 0.9519, 0.9225)  5 Nd 3.42-3.79, 6 Dy 3.50-3.76
Dy (0.5000, 0.9034, 0.7805)  5 Nd 3.35-3.50, 2 Dy 3.60, 4 Ca 3.63-3.68
Nd (0.5000, 0.1869, 0.6194)  3 Dy 3.35-3.73, 4 Nd 3.60-3.64
Nd (0.0000, 0.4519, 0.5775)  5 Nd 3.42-3.79, 6 Dy 3.50-3.76
Nd (0.0000, 0.9285, 0.6383)  6 Dy 3.47-3.69, 1 Ca 3.59, 4 Nd 3.60-3.64
Nd (0.0000, 0.0715, 0.3617)  6 Dy 3.47-3.69, 1 Ca 3.59, 4 Nd 3.60-3.64
Ca (0.0000, 0.1633, 0.7852)  4 Nd 3.59-3.89, 2 Ca 3.60, 6 Dy 3.63-3.90
Nd (0.5000, 0.8131, 0.3806)  3 Dy 3.35-3.73, 4 Nd 3.60-3.64
Ca (0.0000, 0.3367, 0.2852)  4 Nd 3.59-3.89, 2 Ca 3.60, 6 Dy 3.63-3.90
Dy (0.5000, 0.5000, 0.0000)  6 Nd 3.36-3.49, 4 Dy 3.60-3.67
Dy (0.5000, 0.2901, 0.4498)  3 Dy 3.60-3.67, 7 Nd 3.65-3.76, 2 Ca 3.90
Nd (0.0000, 0.0481, 0.0775)  5 Nd 3.42-3.79, 6 Dy 3.50-3.76
Dy (0.5000, 0.4034, 0.7195)  5 Nd 3.35-3.50, 2 Dy 3.60, 4 Ca 3.63-3.68
Nd (0.0000, 0.4285, 0.8617)  6 Dy 3.47-3.69, 1 Ca 3.59, 4 Nd 3.60-3.64
Dy (0.5000, 0.7099, 0.5502)  3 Dy 3.60-3.67, 7 Nd 3.65-3.76, 2 Ca 3.90
Dy (0.5000, 0.5966, 0.2805)  5 Nd 3.35-3.50, 2 Dy 3.60, 4 Ca 3.63-3.68
Dy (0.5000, 0.0000, 0.5000)  6 Nd 3.36-3.49, 4 Dy 3.60-3.67
Ca (0.0000, 0.8367, 0.2148)  4 Nd 3.59-3.89, 2 Ca 3.60, 6 Dy 3.63-3.90
Dy (0.5000, 0.2099, 0.9498)  3 Dy 3.60-3.67, 7 Nd 3.65-3.76, 2 Ca 3.90

Formation enthalpy at 0 K, eV/atom: 0.139
Uncorrected energy, eV/atom: -4.14
Calculated volume, Å³/cell: 905
M_tot, μB per cell: 0.000


Entry 10:
## Ca2NdDy (GGA-PBE)

Data for a geometry-optimized Ca2NdDy structure.

Cell: 3.6898 3.6898 12.5424 Å, 81.54 81.54 60.00°
Closest atoms and distances in Å follow each position.
Fractional positions:
Nd (0.5003, 0.5003, 0.4992)  6 Nd 3.69, 6 Ca 3.77-3.78
Ca (0.0826, 0.0826, 0.7521)  6 Ca 3.69, 3 Dy 3.74, 3 Nd 3.78
Ca (0.2508, 0.2508, 0.2477)  6 Ca 3.69, 3 Dy 3.72, 3 Nd 3.77
Dy (0.6664, 0.6664, 0.0009)  6 Dy 3.69, 6 Ca 3.72-3.74

Formation enthalpy at 0 K, eV/atom: 0.116
Uncorrected energy, eV/atom: -3.23
Calculated volume, Å³/cell: 146
M_tot, μB per cell: 0.020